*A*
The following is a GGA-PBE calculation of an optimized crystal structure of Y2PbO, from Alexandria via LeMat-Bulk.

Unit cell a=6.358 b=6.358 c=6.358 alpha=113.17 beta=113.17 gamma=102.31
Sites, in units of the cell vectors:
Y (0.019, 0.625, 0.894)
Y (0.375, 0.269, 0.394)
Y (0.731, 0.125, 0.106)
Y (0.875, 0.981, 0.606)
Pb (0.250, 0.750, 0.500)
Pb (0.500, 0.500, 0.000)
O (0.000, 0.000, 0.000)
O (0.750, 0.250, 0.500)

Calculated values
M_tot	0.00	μB/f.u.



*B*
The following is a GGA-PBE calculation of an optimized crystal structure of Y2PbO, from Alexandria via LeMat-Bulk.

Unit cell a=6.378 b=6.329 c=11.185 alpha=90.00 beta=115.00 gamma=90.00
Sites, in units of the cell vectors:
Y (0.023, 0.235, 0.073)
Y (0.023, 0.765, 0.573)
Y (0.286, 0.176, 0.829)
Y (0.286, 0.824, 0.329)
Y (0.714, 0.176, 0.671)
Y (0.714, 0.824, 0.171)
Y (0.977, 0.235, 0.427)
Y (0.977, 0.765, 0.927)
Pb (0.433, 0.321, 0.371)
Pb (0.433, 0.679, 0.871)
Pb (0.567, 0.321, 0.129)
Pb (0.567, 0.679, 0.629)
O (0.012, 0.105, 0.622)
O (0.012, 0.895, 0.122)
O (0.988, 0.105, 0.878)
O (0.988, 0.895, 0.378)

Calculated values
M_tot	0.00	μB/f.u.



*C*
The following is a GGA-PBE calculation of an optimized crystal structure of Y2PbO, from Alexandria via LeMat-Bulk.

Unit cell a=7.971 b=7.971 c=7.971 alpha=26.03 beta=26.03 gamma=26.03
Sites, in units of the cell vectors:
Y (0.222, 0.222, 0.222)
Y (0.778, 0.778, 0.778)
Pb (0.000, 0.000, 0.000)
O (0.500, 0.500, 0.500)

Calculated values
M_tot	0.00	μB/f.u.



*D*
The following is a GGA-PBE calculation of an optimized crystal structure of Y2PbO, from Alexandria via LeMat-Bulk.

Unit cell a=4.543 b=4.543 c=8.872 alpha=90.00 beta=90.00 gamma=90.00
Sites, in units of the cell vectors:
Y (0.250, 0.250, 0.169)
Y (0.250, 0.750, 0.500)
Y (0.750, 0.250, 0.500)
Y (0.750, 0.750, 0.831)
Pb (0.250, 0.250, 0.803)
Pb (0.750, 0.750, 0.197)
O (0.250, 0.250, 0.428)
O (0.750, 0.750, 0.572)

Calculated values
M_tot	0.00	μB/f.u.



Stability, lowest: *B*



*A*
The following is a GGA-PBE calculation of an optimized crystal structure of ZnPb3O, from Alexandria via LeMat-Bulk.

Unit cell a=5.021 b=5.021 c=5.021 alpha=90.00 beta=90.00 gamma=90.00
Sites, in units of the cell vectors:
Zn (0.000, 0.000, 0.000)
Pb (0.000, 0.500, 0.500)
Pb (0.500, 0.000, 0.500)
Pb (0.500, 0.500, 0.000)
O (0.500, 0.500, 0.500)

Calculated values
M_tot	0.00	μB/f.u.



*B*
The following is a GGA-PBE calculation of an optimized crystal structure of ZnPb3O, from Alexandria via LeMat-Bulk.

Unit cell a=5.299 b=5.299 c=5.299 alpha=90.00 beta=90.00 gamma=90.00
Sites, in units of the cell vectors:
Zn (0.000, 0.000, 0.000)
Pb (0.000, 0.000, 0.500)
Pb (0.000, 0.500, 0.000)
Pb (0.500, 0.000, 0.000)
O (0.500, 0.500, 0.500)

Calculated values
M_tot	0.00	μB/f.u.



Stability, lowest: *B*



*A*
The following is a GGA-PBE calculation of an optimized crystal structure of ZnPbO2, from Alexandria via LeMat-Bulk.

Unit cell a=6.551 b=6.551 c=6.551 alpha=33.52 beta=33.52 gamma=33.52
Sites, in units of the cell vectors:
Zn (0.000, 0.000, 0.000)
Pb (0.500, 0.500, 0.500)
O (0.095, 0.095, 0.095)
O (0.905, 0.905, 0.905)

Calculated values
M_tot	0.00	μB/f.u.



*B*
The following is a GGA-PBE calculation of an optimized crystal structure of ZnPbO2, from Alexandria via LeMat-Bulk.

Unit cell a=3.460 b=4.334 c=9.487 alpha=90.00 beta=90.10 gamma=90.00
Sites, in units of the cell vectors:
Zn (0.250, 0.000, 0.084)
Zn (0.750, 0.500, 0.916)
Pb (0.249, 0.958, 0.684)
Pb (0.751, 0.458, 0.316)
O (0.250, 0.748, 0.908)
O (0.251, 0.769, 0.263)
O (0.749, 0.269, 0.737)
O (0.750, 0.248, 0.092)

Calculated values
M_tot	0.00	μB/f.u.



*C*
The following is a GGA-PBE calculation of an optimized crystal structure of ZnPbO2, from Alexandria via LeMat-Bulk.

Unit cell a=4.257 b=4.257 c=4.257 alpha=60.00 beta=60.00 gamma=60.00
Sites, in units of the cell vectors:
Zn (0.000, 0.000, 0.000)
Pb (0.500, 0.500, 0.500)
O (0.250, 0.250, 0.250)
O (0.750, 0.750, 0.750)

Calculated values
M_tot	0.00	μB/f.u.



*D*
The following is a GGA-PBE calculation of an optimized crystal structure of ZnPbO2, from Alexandria via LeMat-Bulk.

Unit cell a=6.689 b=6.689 c=6.689 alpha=27.79 beta=27.79 gamma=27.79
Sites, in units of the cell vectors:
Zn (0.000, 0.000, 0.000)
Pb (0.500, 0.500, 0.500)
O (0.387, 0.387, 0.387)
O (0.613, 0.613, 0.613)

Calculated values
M_tot	0.00	μB/f.u.



Stability, lowest: *C*